Compound: HoIn2Si2Pt7
Source: the Alexandria database
Functional: PBE-GGA
Structure: relaxed

a = 3.9938 Å, b = 3.9938 Å, c = 14.1191 Å
α = 84.03°, β = 84.03°, γ = 90.03°
Last column: nearest neighbours and their distance in Å.
Sites, in units of the cell vectors:
In (0.1054, 0.1054, 0.6058)  5 Pt 2.81-2.88
In (0.8946, 0.8946, 0.3942)  5 Pt 2.81-2.88
Pt (0.3792, 0.3792, 0.4185)  1 Si 2.32
Pt (0.4422, 0.9431, 0.1575)  2 Si 2.40
Pt (0.6208, 0.6208, 0.5815)  1 Si 2.32
Pt (0.0569, 0.5578, 0.8425)  2 Si 2.40
Pt (0.5578, 0.0569, 0.8425)  2 Si 2.40
Pt (0.5000, 0.5000, 0.0000)  4 Ho 2.82, 8 Pt 2.97
Pt (0.9431, 0.4422, 0.1575)  2 Si 2.40
Si (0.4088, 0.4088, 0.2530)  5 Pt 2.32-2.40
Si (0.5912, 0.5912, 0.7470)  5 Pt 2.32-2.40
Ho (0.0000, 0.0000, 0.0000)  12 Pt 2.82-2.97

Calculated values
formation energy from raw total energies = -715 meV/atom


Compound: Ho2InSi3Pt4
Source: the Alexandria database
Functional: PBE-GGA
Structure: relaxed

a = 4.2087 Å, b = 4.2087 Å, c = 10.3975 Å
α = 90.00°, β = 90.00°, γ = 90.00°
Last column: nearest neighbours and their distance in Å.
Sites, in units of the cell vectors:
In (0.5000, 0.5000, 0.5000)  4 Pt 2.64
Si (0.0000, 0.0000, 0.5000)  4 Pt 2.64
Si (0.0000, 0.5000, 0.1236)  5 Pt 2.33-2.47
Si (0.5000, 0.0000, 0.8764)  5 Pt 2.33-2.47
Pt (0.5000, 0.5000, 0.0000)  4 Si 2.47
Pt (0.5000, 0.0000, 0.6525)  1 Si 2.33
Pt (0.0000, 0.0000, 0.0000)  4 Si 2.47
Pt (0.0000, 0.5000, 0.3475)  1 Si 2.33
Ho (0.5000, 0.0000, 0.2408)  8 Pt 3.18-3.27, 6 Si 3.22-3.42, 2 In 3.42
Ho (0.0000, 0.5000, 0.7592)  8 Pt 3.18-3.27, 6 Si 3.22-3.42, 2 In 3.42

Calculated values
formation energy from raw total energies = -965 meV/atom


Compound: SmHoInPt
Source: the Alexandria database
Functional: PBE-GGA
Structure: relaxed

a = 5.1729 Å, b = 5.1729 Å, c = 5.1729 Å
α = 60.00°, β = 60.00°, γ = 60.00°
Last column: nearest neighbours and their distance in Å.
Sites, in units of the cell vectors:
Ho (0.0000, 0.0000, 0.0000)  4 In 3.17, 4 Pt 3.17
Sm (0.5000, 0.5000, 0.5000)  4 In 3.17, 4 Pt 3.17
Pt (0.7500, 0.7500, 0.7500)  4 Ho 3.17, 4 Sm 3.17
In (0.2500, 0.2500, 0.2500)  4 Sm 3.17, 4 Ho 3.17

Calculated values
ΔE_f = -0.718 eV/atom


Compound: Sr2HoIn12Pt3
Source: the Alexandria database
Functional: PBE-GGA
Structure: relaxed

a = 8.7208 Å, b = 8.7208 Å, c = 8.7208 Å
α = 67.05°, β = 67.05°, γ = 67.05°
Last column: nearest neighbours and their distance in Å.
Sites, in units of the cell vectors:
In (0.8361, 0.8361, 0.4374)  1 Pt 2.68
In (0.1639, 0.1639, 0.5626)  1 Pt 2.68
In (0.5626, 0.1639, 0.1639)  1 Pt 2.68
In (0.4374, 0.8361, 0.8361)  1 Pt 2.68
In (0.2685, 0.8591, 0.2685)  2 Pt 2.66
In (0.1409, 0.7315, 0.7315)  2 Pt 2.66
In (0.7315, 0.7315, 0.1409)  2 Pt 2.66
In (0.7315, 0.1409, 0.7315)  2 Pt 2.66
In (0.1639, 0.5626, 0.1639)  1 Pt 2.68
In (0.8361, 0.4374, 0.8361)  1 Pt 2.68
In (0.8591, 0.2685, 0.2685)  2 Pt 2.66
In (0.2685, 0.2685, 0.8591)  2 Pt 2.66
Pt (0.0000, 0.0000, 0.5000)  6 In 2.66-2.68
Pt (0.0000, 0.5000, 0.0000)  6 In 2.66-2.68
Pt (0.5000, 0.0000, 0.0000)  6 In 2.66-2.68
Ho (0.0000, 0.0000, 0.0000)  12 In 3.42-3.50
Sr (0.5850, 0.5850, 0.5850)  6 In 3.25-3.44, 1 Sr 3.43
Sr (0.4150, 0.4150, 0.4150)  6 In 3.25-3.44, 1 Sr 3.43

Calculated values
ΔE_f = -0.153 eV/atom


Compound: HoTlInPt
Source: the Alexandria database
Functional: PBE-GGA
Structure: relaxed

a = 5.0205 Å, b = 5.0205 Å, c = 5.0205 Å
α = 60.00°, β = 60.00°, γ = 60.00°
Last column: nearest neighbours and their distance in Å.
Sites, in units of the cell vectors:
Pt (0.2500, 0.2500, 0.2500)  4 In 3.07, 4 Ho 3.07
In (0.5000, 0.5000, 0.5000)  4 Tl 3.07, 4 Pt 3.07
Ho (0.0000, 0.0000, 0.0000)  4 Tl 3.07, 4 Pt 3.07
Tl (0.7500, 0.7500, 0.7500)  4 In 3.07, 4 Ho 3.07

Calculated values
ΔE_f = -0.485 eV/atom


Compound: HoZnInPt
Source: the Alexandria database
Functional: PBE-GGA
Structure: relaxed

a = 4.7998 Å, b = 4.7998 Å, c = 4.7998 Å
α = 60.00°, β = 60.00°, γ = 60.00°
Last column: nearest neighbours and their distance in Å.
Sites, in units of the cell vectors:
In (0.2500, 0.2500, 0.2500)  4 Zn 2.94, 4 Pt 2.94
Ho (0.7500, 0.7500, 0.7500)  4 Zn 2.94, 4 Pt 2.94
Pt (0.5000, 0.5000, 0.5000)  4 In 2.94, 4 Ho 2.94
Zn (0.0000, 0.0000, 0.0000)  4 Ho 2.94, 4 In 2.94

Calculated values
ΔE_f = -0.675 eV/atom


Compound: Ho2PuIn
Source: the Alexandria database
Functional: PBE-GGA
Structure: relaxed

a = 4.6182 Å, b = 4.8814 Å, c = 4.8814 Å
α = 90.00°, β = 90.00°, γ = 90.00°
Last column: nearest neighbours and their distance in Å.
Sites, in units of the cell vectors:
Ho (0.0000, 0.0000, 0.5000)  4 Pu 3.36, 4 In 3.36, 4 Ho 3.45
Ho (0.0000, 0.5000, 0.0000)  4 Pu 3.36, 4 In 3.36, 4 Ho 3.45
In (0.5000, 0.0000, 0.0000)  8 Ho 3.36, 4 Pu 3.45
Pu (0.5000, 0.5000, 0.5000)  8 Ho 3.36, 4 In 3.45

Calculated values
ΔE_f = -0.142 eV/atom


Compound: Ho2PuIn
Source: the Alexandria database
Functional: PBE-GGA
Structure: relaxed

a = 3.4889 Å, b = 3.4889 Å, c = 9.0774 Å
α = 90.00°, β = 90.00°, γ = 90.00°
Last column: nearest neighbours and their distance in Å.
Sites, in units of the cell vectors:
Ho (0.0000, 0.0000, 0.2346)  4 In 3.26, 4 Pu 3.45, 4 Ho 3.49
Ho (0.0000, 0.0000, 0.7654)  4 In 3.26, 4 Pu 3.45, 4 Ho 3.49
In (0.5000, 0.5000, 0.0000)  8 Ho 3.26, 4 In 3.49
Pu (0.5000, 0.5000, 0.5000)  8 Ho 3.45, 4 Pu 3.49

Calculated values
ΔE_f = -0.144 eV/atom


| no. | energy (eV/f.u.) |
| --- | --- |
| 1 | -71.76 |
| 2 | -61.97 |
| 3 | -20.95 |
| 4 | -61.67 |
| 5 | -17.66 |
| 6 | -17.33 |
| 7 | -26.80 |
| 8 | -26.80 |